[1]
Material: Pu2Al6GaAg
Method: DFT, PBE-GGA
State: optimized geometry

Geometry as POSCAR:
```
Pu2Al6GaAg
1.0
-0.588 -1.521 -6.288
-4.187 -4.611 -1.849
-9.914 5.980 -3.875
Pu Ga Al Ag
4 2 12 2
Direct
0.108 0.108 0.675
0.283 0.283 0.151
0.892 0.892 0.325
0.717 0.717 0.849
0.425 0.425 0.724
0.575 0.575 0.276
0.329 0.939 0.402
0.229 0.639 0.903
0.329 0.329 0.402
0.771 0.361 0.097
0.671 0.061 0.598
0.939 0.329 0.402
0.639 0.229 0.903
0.771 0.771 0.097
0.229 0.229 0.903
0.671 0.671 0.598
0.361 0.771 0.097
0.061 0.671 0.598
0.000 0.000 0.000
0.500 0.500 0.500
```

SG: No. 166
E_tot in eV for the cell shown: -113.01
Calculated volume in Å³/atom: 21.23
Spin magnetization in μB per formula unit: 11.830
Energy of formation in eV/atom: 0.05
N(E_F) in states/eV/cell: 50.13

---

[2]
Material: K2LaPt
Method: DFT, PBE-GGA
State: optimized geometry

Geometry as POSCAR:
```
K2LaPt
1.0
4.333 -0.011 0.039
2.184 3.742 0.039
1.965 1.125 11.358
Pt K La
1 2 1
Direct
0.761 0.761 0.718
0.033 0.033 0.913
0.241 0.241 0.268
0.465 0.465 0.600
```

SG: No. 8
E_tot in eV for the cell shown: -14.48
Calculated volume in Å³/atom: 46.01
Spin magnetization in μB per formula unit: 0.000
Energy of formation in eV/atom: -0.33
N(E_F) in states/eV/cell: 2.81
E above lowest polymorph in meV/atom: 51

---

[3]
Material: AlCuOs3
Method: DFT, PBE-GGA
State: optimized geometry

Geometry as POSCAR:
```
AlCuOs3
1.0
4.434 0.000 0.000
0.000 4.434 0.000
0.000 0.000 4.434
Os Cu Al
3 1 1
Direct
0.000 0.000 0.500
0.500 0.000 0.000
0.000 0.500 0.000
0.000 0.000 0.000
0.500 0.500 0.500
```

SG: No. 221
E_tot in eV for the cell shown: -31.96
Calculated volume in Å³/atom: 17.44
Spin magnetization in μB per formula unit: 2.114
Energy of formation in eV/atom: 1.91
N(E_F) in states/eV/cell: 5.82
E above lowest polymorph in meV/atom: 38

---

[4]
Material: Er8ZnTc2
Method: DFT, PBE-GGA
State: optimized geometry

Geometry as POSCAR:
```
Er8ZnTc2
1.0
-4.371 -3.154 1.037
2.788 -3.887 -6.055
3.996 -1.452 6.440
Er Tc Zn
8 2 1
Direct
0.582 0.334 0.069
0.413 0.938 0.673
0.191 0.380 0.380
0.582 0.069 0.334
0.804 0.624 0.624
0.998 0.243 0.764
0.998 0.764 0.243
0.413 0.673 0.938
0.497 0.319 0.688
0.497 0.688 0.319
0.023 0.001 0.001
```

SG: No. 8
E_tot in eV for the cell shown: -59.20
Calculated volume in Å³/atom: 26.61
Spin magnetization in μB per formula unit: 0.000
Energy of formation in eV/atom: -0.06
N(E_F) in states/eV/cell: 10.57

---

[5]
Material: CrP2NCl
Method: DFT, PBE-GGA
State: optimized geometry

Geometry as POSCAR:
```
CrP2NCl
1.0
4.398 0.000 0.000
0.000 4.398 0.000
0.000 0.000 4.952
N P Cr Cl
1 2 1 1
Direct
0.500 0.500 0.500
0.500 0.000 0.000
0.000 0.500 0.000
0.000 0.000 0.000
0.000 0.000 0.500
```

SG: No. 123
E_tot in eV for the cell shown: -24.59
Calculated volume in Å³/atom: 19.16
Spin magnetization in μB per formula unit: 3.135
N(E_F) in states/eV/cell: 2.40
E above lowest polymorph in meV/atom: 12

---

[6]
Material: CsTcO
Method: DFT, PBE-GGA
State: optimized geometry

Geometry as POSCAR:
```
CsTcO
1.0
-1.915 2.219 -1.540
-2.767 -2.573 -0.266
-2.065 1.703 5.021
Cs Tc O
1 1 1
Direct
0.500 0.500 0.000
0.000 0.000 0.500
0.000 0.500 0.500
```

SG: No. 47
E_tot in eV for the cell shown: -16.77
Calculated volume in Å³/atom: 23.79
Spin magnetization in μB per formula unit: 0.941
N(E_F) in states/eV/cell: 2.30

---

Look up the E_tot of the sixth one. -16.77 eV for the cell shown

---

What is the formula in the fifth record? CrP2NCl

---

Please write out number 3 again, unchanged.
Material: AlCuOs3
Method: DFT, PBE-GGA
State: optimized geometry

Geometry as POSCAR:
```
AlCuOs3
1.0
4.434 0.000 0.000
0.000 4.434 0.000
0.000 0.000 4.434
Os Cu Al
3 1 1
Direct
0.000 0.000 0.500
0.500 0.000 0.000
0.000 0.500 0.000
0.000 0.000 0.000
0.500 0.500 0.500
```

SG: No. 221
E_tot in eV for the cell shown: -31.96
Calculated volume in Å³/atom: 17.44
Spin magnetization in μB per formula unit: 2.114
Energy of formation in eV/atom: 1.91
N(E_F) in states/eV/cell: 5.82
E above lowest polymorph in meV/atom: 38

---

What is the calculated volume in the third record? 17.44 Å³/atom